First-principles (PBE-GGA) data for an optimized crystal structure of Ta2WAu, as listed in Alexandria via LeMat-Bulk.

Values from the calculation:
- Formation energy: 0.099 eV/atom
- DOS(E_F): 5.95 states/eV/cell
- Energy above the lowest structure with this stoichiometry: 0.145 eV per atom

Geometry as CIF:
```
data_Ta2WAu
_cell_length_a 4.272
_cell_length_b 4.272
_cell_length_c 7.652
_cell_angle_alpha 90.00
_cell_angle_beta 90.00
_cell_angle_gamma 90.00
_space_group_name_H-M_alt 'I 4/m m m'
_space_group_IT_number 139
_space_group_name_Hall '-I 4 2'
loop_
_atom_site_label
_atom_site_type_symbol
_atom_site_fract_x
_atom_site_fract_y
_atom_site_fract_z
Ta1 Ta 0.000 0.500 0.250
W1 W 0.000 0.000 0.000
Au1 Au 0.000 0.000 0.500
```

---

First-principles (PBE-GGA) data for an optimized crystal structure of AgGePbBr5, as listed in Alexandria via LeMat-Bulk.

Values from the calculation:
- Formation energy without anion corrections: -0.547 eV/atom
- DOS(E_F): 0.00 states/eV/cell

Geometry as CIF:
```
data_AgGePbBr5
_cell_length_a 9.526
_cell_length_b 12.628
_cell_length_c 10.417
_cell_angle_alpha 90.00
_cell_angle_beta 114.03
_cell_angle_gamma 90.00
_space_group_name_H-M_alt 'C 1 2/c 1'
_space_group_IT_number 15
_space_group_name_Hall '-C 2yc'
loop_
_atom_site_label
_atom_site_type_symbol
_atom_site_fract_x
_atom_site_fract_y
_atom_site_fract_z
Ag1 Ag 0.000 0.064 0.250
Ge1 Ge 0.000 0.381 0.250
Pb1 Pb 0.250 0.250 0.000
Br1 Br 0.000 0.369 0.750
Br2 Br 0.044 0.228 0.438
Br3 Br 0.224 0.076 0.786
```

---

First-principles (PBE-GGA) data for an optimized crystal structure of PuHCO5, as listed in Alexandria via LeMat-Bulk.

Values from the calculation:
- DOS(E_F): 23.44 states/eV/cell

Geometry as CIF:
```
data_PuHCO5
_cell_length_a 6.722
_cell_length_b 8.404
_cell_length_c 5.580
_cell_angle_alpha 90.00
_cell_angle_beta 103.62
_cell_angle_gamma 90.00
_space_group_name_H-M_alt 'C 1 2/c 1'
_space_group_IT_number 15
_space_group_name_Hall '-C 2yc'
loop_
_atom_site_label
_atom_site_type_symbol
_atom_site_fract_x
_atom_site_fract_y
_atom_site_fract_z
Pu1 Pu 0.000 0.197 0.250
H1 H 0.000 0.500 0.000
C1 C 0.000 0.167 0.750
O1 O 0.000 0.448 0.250
O2 O 0.127 0.078 0.929
O3 O 0.127 0.261 0.641
```

---

What are the ρ values for these records? In order: 17.7; 4.6; 7.3 g cm⁻³.
What are the total energy values for these records? In order: -0.72655; -0.21975; -0.58081 Ry/atom.